# 1
# MgBeGaFe

A relaxed structure of MgBeGaFe (PBE-GGA, OQMD).

Values from the calculation:
Its total energy is -3.946 eV per atom. As for the energy above the most stable polymorph in this dataset: 0.054 eV/atom.

Geometry as POSCAR:
```
MgBeGaFe
1.0
0.000 2.943 2.943
2.943 0.000 2.943
2.943 2.943 0.000
Be Fe Ga Mg
1 1 1 1
Cartesian
4.414 4.414 4.414 Be
1.471 1.471 1.471 Fe
0.000 0.000 0.000 Ga
2.943 2.943 2.943 Mg
```

# 2
# MgBeGaFe

A relaxed structure of MgBeGaFe (PBE-GGA, OQMD).

Values from the calculation:
Its total energy is -4.000 eV per atom. As for the energy above the most stable polymorph in this dataset: 0.000 eV/atom.

Geometry as POSCAR:
```
MgBeGaFe
1.0
1.301 -3.923 0.416
-1.940 -2.564 2.631
-2.313 -3.123 -1.469
Be Fe Ga Mg
1 1 1 1
Cartesian
-1.476 -4.805 0.789 Be
-2.214 -7.208 1.184 Fe
0.000 0.000 0.000 Ga
-0.738 -2.403 0.395 Mg
```